# PuZnFeGe2 PBE relaxed
# formation energy = -0.10 eV/atom
# ρ = 9.40 g/cm³
# symmetry = Cmme (67)
# DFT total energy = -67.6 eV/cell
# magnetic moment = 7.353 μB/f.u.
data_PuZnFeGe2
_space_group_name_H-M_alt 'P 1'
_space_group_IT_number 1
_cell_length_a 7.5764
_cell_length_b 7.5764
_cell_length_c 4.9737
_cell_angle_alpha 90.00
_cell_angle_beta 90.00
_cell_angle_gamma 140.83
loop_
_space_group_symop_operation_xyz
'x,y,z'
loop_
_atom_site_label
_atom_site_type_symbol
_atom_site_fract_x
_atom_site_fract_y
_atom_site_fract_z
Pu1 Pu 0.2500 0.7500 0.8157
Pu2 Pu 0.7500 0.2500 0.1843
Zn1 Zn 0.0000 0.0000 0.0000
Zn2 Zn 0.5000 0.5000 0.0000
Fe1 Fe 0.2500 0.2500 0.5000
Fe2 Fe 0.7500 0.7500 0.5000
Ge1 Ge 0.1334 0.8666 0.3236
Ge2 Ge 0.3666 0.6334 0.3236
Ge3 Ge 0.6334 0.3666 0.6764
Ge4 Ge 0.8666 0.1334 0.6764

---

# RbFe3Ge PBE relaxed
# formation energy = 2.56 eV/atom
# ρ = 5.42 g/cm³
# symmetry = Pm-3m (221)
# DFT total energy = -18.2 eV/cell
# magnetic moment = 7.847 μB/f.u.
data_RbFe3Ge
_space_group_name_H-M_alt 'P 1'
_space_group_IT_number 1
_cell_length_a 4.6375
_cell_length_b 4.6375
_cell_length_c 4.6375
_cell_angle_alpha 90.00
_cell_angle_beta 90.00
_cell_angle_gamma 90.00
loop_
_space_group_symop_operation_xyz
'x,y,z'
loop_
_atom_site_label
_atom_site_type_symbol
_atom_site_fract_x
_atom_site_fract_y
_atom_site_fract_z
Rb1 Rb 0.0000 0.0000 0.0000
Fe1 Fe 0.0000 0.0000 0.5000
Fe2 Fe 0.0000 0.5000 0.0000
Fe3 Fe 0.5000 0.0000 0.0000
Ge1 Ge 0.5000 0.5000 0.5000

---

# RbFe3Ge PBE relaxed
# formation energy = 1.02 eV/atom
# ρ = 4.91 g/cm³
# symmetry = Pm-3m (221)
# DFT total energy = -25.9 eV/cell
# magnetic moment = 8.836 μB/f.u.
data_RbFe3Ge
_space_group_name_H-M_alt 'P 1'
_space_group_IT_number 1
_cell_length_a 4.7917
_cell_length_b 4.7917
_cell_length_c 4.7917
_cell_angle_alpha 90.00
_cell_angle_beta 90.00
_cell_angle_gamma 90.00
loop_
_space_group_symop_operation_xyz
'x,y,z'
loop_
_atom_site_label
_atom_site_type_symbol
_atom_site_fract_x
_atom_site_fract_y
_atom_site_fract_z
Rb1 Rb 0.0000 0.0000 0.0000
Fe1 Fe 0.0000 0.5000 0.5000
Fe2 Fe 0.5000 0.0000 0.5000
Fe3 Fe 0.5000 0.5000 0.0000
Ge1 Ge 0.5000 0.5000 0.5000

---

# Rb2FeGeS4 PBE relaxed
# ρ = 2.92 g/cm³
# symmetry = Fddd (70)
# DFT total energy = -75.1 eV/cell
# magnetic moment = 4.000 μB/f.u.
# formation energy from raw total energies = -755 meV per atom
data_Rb2FeGeS4
_space_group_name_H-M_alt 'P 1'
_space_group_IT_number 1
_cell_length_a 13.5961
_cell_length_b 12.2006
_cell_length_c 7.3954
_cell_angle_alpha 84.05
_cell_angle_beta 63.19
_cell_angle_gamma 32.75
loop_
_space_group_symop_operation_xyz
'x,y,z'
loop_
_atom_site_label
_atom_site_type_symbol
_atom_site_fract_x
_atom_site_fract_y
_atom_site_fract_z
Rb1 Rb 0.0538 0.0538 0.6962
Rb2 Rb 0.3038 0.3038 0.9462
Rb3 Rb 0.6962 0.6962 0.0538
Rb4 Rb 0.9462 0.9462 0.3038
Fe1 Fe 0.1250 0.1250 0.1250
Fe2 Fe 0.8750 0.8750 0.8750
Ge1 Ge 0.3750 0.3750 0.3750
Ge2 Ge 0.6250 0.6250 0.6250
S1 S 0.0116 0.3375 0.4214
S2 S 0.2705 0.5786 0.6625
S3 S 0.3375 0.0116 0.7295
S4 S 0.4214 0.7295 0.0116
S5 S 0.5786 0.2705 0.9884
S6 S 0.6625 0.9884 0.2705
S7 S 0.7295 0.4214 0.3375
S8 S 0.9884 0.6625 0.5786

---

# RbScFe2Ge PBE relaxed
# formation energy = 0.76 eV/atom
# ρ = 4.42 g/cm³
# symmetry = P4/mmm (123)
# DFT total energy = -25.1 eV/cell
# magnetic moment = 4.135 μB/f.u.
data_RbScFe2Ge
_space_group_name_H-M_alt 'P 1'
_space_group_IT_number 1
_cell_length_a 4.7419
_cell_length_b 4.7419
_cell_length_c 5.2610
_cell_angle_alpha 90.00
_cell_angle_beta 90.00
_cell_angle_gamma 90.00
loop_
_space_group_symop_operation_xyz
'x,y,z'
loop_
_atom_site_label
_atom_site_type_symbol
_atom_site_fract_x
_atom_site_fract_y
_atom_site_fract_z
Rb1 Rb 0.0000 0.0000 0.0000
Sc1 Sc 0.5000 0.5000 0.0000
Fe1 Fe 0.0000 0.5000 0.5000
Fe2 Fe 0.5000 0.0000 0.5000
Ge1 Ge 0.5000 0.5000 0.5000

---

# RbFeGe2Te PBE relaxed
# ρ = 5.18 g/cm³
# symmetry = P4/mmm (123)
# DFT total energy = -20.6 eV/cell
# magnetic moment = 1.011 μB/f.u.
# formation energy from raw total energies = 246 meV per atom
data_RbFeGe2Te
_space_group_name_H-M_alt 'P 1'
_space_group_IT_number 1
_cell_length_a 4.7370
_cell_length_b 4.7370
_cell_length_c 5.9194
_cell_angle_alpha 90.00
_cell_angle_beta 90.00
_cell_angle_gamma 90.00
loop_
_space_group_symop_operation_xyz
'x,y,z'
loop_
_atom_site_label
_atom_site_type_symbol
_atom_site_fract_x
_atom_site_fract_y
_atom_site_fract_z
Rb1 Rb 0.0000 0.0000 0.0000
Fe1 Fe 0.0000 0.0000 0.5000
Ge1 Ge 0.0000 0.5000 0.5000
Ge2 Ge 0.5000 0.0000 0.5000
Te1 Te 0.5000 0.5000 0.0000

---

# Fe2ReGe2 PBE relaxed
# formation energy = 0.32 eV/atom
# ρ = 11.37 g/cm³
# symmetry = P4/mbm (127)
# DFT total energy = -74.0 eV/cell
# magnetic moment = 0.000 μB/f.u.
data_Fe2ReGe2
_space_group_name_H-M_alt 'P 1'
_space_group_IT_number 1
_cell_length_a 6.8027
_cell_length_b 6.8027
_cell_length_c 2.7976
_cell_angle_alpha 90.00
_cell_angle_beta 90.00
_cell_angle_gamma 90.00
loop_
_space_group_symop_operation_xyz
'x,y,z'
loop_
_atom_site_label
_atom_site_type_symbol
_atom_site_fract_x
_atom_site_fract_y
_atom_site_fract_z
Fe1 Fe 0.1273 0.3727 0.0000
Fe2 Fe 0.3727 0.8727 0.0000
Fe3 Fe 0.6273 0.1273 0.0000
Fe4 Fe 0.8727 0.6273 0.0000
Re1 Re 0.0000 0.0000 0.0000
Re2 Re 0.5000 0.5000 0.0000
Ge1 Ge 0.1704 0.6704 0.5000
Ge2 Ge 0.3296 0.1704 0.5000
Ge3 Ge 0.6704 0.8296 0.5000
Ge4 Ge 0.8296 0.3296 0.5000

---

# FeReGe2 PBE relaxed
# formation energy = 0.41 eV/atom
# ρ = 9.86 g/cm³
# symmetry = R-3m (166)
# DFT total energy = -28.5 eV/cell
# magnetic moment = 2.730 μB/f.u.
data_FeReGe2
_space_group_name_H-M_alt 'P 1'
_space_group_IT_number 1
_cell_length_a 9.0041
_cell_length_b 9.0041
_cell_length_c 9.0041
_cell_angle_alpha 18.66
_cell_angle_beta 18.66
_cell_angle_gamma 18.66
loop_
_space_group_symop_operation_xyz
'x,y,z'
loop_
_atom_site_label
_atom_site_type_symbol
_atom_site_fract_x
_atom_site_fract_y
_atom_site_fract_z
Fe1 Fe 0.0000 0.0000 0.0000
Re1 Re 0.5000 0.5000 0.5000
Ge1 Ge 0.0911 0.0911 0.0911
Ge2 Ge 0.9089 0.9089 0.9089

---

# FeReGe4 PBE relaxed
# formation energy = 0.17 eV/atom
# ρ = 9.41 g/cm³
# symmetry = C2/m (12)
# DFT total energy = -38.3 eV/cell
# magnetic moment = 0.682 μB/f.u.
data_FeReGe4
_space_group_name_H-M_alt 'P 1'
_space_group_IT_number 1
_cell_length_a 6.5857
_cell_length_b 6.5857
_cell_length_c 5.2194
_cell_angle_alpha 112.67
_cell_angle_beta 112.67
_cell_angle_gamma 26.88
loop_
_space_group_symop_operation_xyz
'x,y,z'
loop_
_atom_site_label
_atom_site_type_symbol
_atom_site_fract_x
_atom_site_fract_y
_atom_site_fract_z
Fe1 Fe 0.0000 0.0000 0.0000
Re1 Re 0.5000 0.5000 0.5000
Ge1 Ge 0.1545 0.1545 0.8212
Ge2 Ge 0.3485 0.3485 0.6985
Ge3 Ge 0.6515 0.6515 0.3015
Ge4 Ge 0.8455 0.8455 0.1788

---

# FeReGe2 PBE relaxed
# formation energy = 0.20 eV/atom
# ρ = 11.81 g/cm³
# symmetry = Fm-3m (225)
# DFT total energy = -29.4 eV/cell
# magnetic moment = 0.556 μB/f.u.
data_FeReGe2
_space_group_name_H-M_alt 'P 1'
_space_group_IT_number 1
_cell_length_a 4.2541
_cell_length_b 4.2541
_cell_length_c 4.2541
_cell_angle_alpha 60.00
_cell_angle_beta 60.00
_cell_angle_gamma 60.00
loop_
_space_group_symop_operation_xyz
'x,y,z'
loop_
_atom_site_label
_atom_site_type_symbol
_atom_site_fract_x
_atom_site_fract_y
_atom_site_fract_z
Fe1 Fe 0.0000 0.0000 0.0000
Re1 Re 0.5000 0.5000 0.5000
Ge1 Ge 0.2500 0.2500 0.2500
Ge2 Ge 0.7500 0.7500 0.7500

---

# Fe2ReGe2 PBE relaxed
# formation energy = 0.59 eV/atom
# ρ = 10.52 g/cm³
# symmetry = I4/mmm (139)
# DFT total energy = -35.7 eV/cell
# magnetic moment = 3.175 μB/f.u.
data_Fe2ReGe2
_space_group_name_H-M_alt 'P 1'
_space_group_IT_number 1
_cell_length_a 6.2585
_cell_length_b 6.2585
_cell_length_c 6.2585
_cell_angle_alpha 147.65
_cell_angle_beta 147.65
_cell_angle_gamma 46.41
loop_
_space_group_symop_operation_xyz
'x,y,z'
loop_
_atom_site_label
_atom_site_type_symbol
_atom_site_fract_x
_atom_site_fract_y
_atom_site_fract_z
Fe1 Fe 0.1001 0.1001 0.0000
Fe2 Fe 0.8999 0.8999 0.0000
Re1 Re 0.5000 0.5000 0.0000
Ge1 Ge 0.2500 0.7500 0.5000
Ge2 Ge 0.7500 0.2500 0.5000

---

# FeReGe2 PBE relaxed
# formation energy = 0.71 eV/atom
# ρ = 10.26 g/cm³
# symmetry = I-42d (122)
# DFT total energy = -54.6 eV/cell
# magnetic moment = 2.981 μB/f.u.
data_FeReGe2
_space_group_name_H-M_alt 'P 1'
_space_group_IT_number 1
_cell_length_a 5.5087
_cell_length_b 5.5087
_cell_length_c 5.5087
_cell_angle_alpha 104.51
_cell_angle_beta 104.51
_cell_angle_gamma 119.93
loop_
_space_group_symop_operation_xyz
'x,y,z'
loop_
_atom_site_label
_atom_site_type_symbol
_atom_site_fract_x
_atom_site_fract_y
_atom_site_fract_z
Fe1 Fe 0.0000 0.0000 0.0000
Fe2 Fe 0.7500 0.2500 0.5000
Re1 Re 0.2500 0.7500 0.5000
Re2 Re 0.5000 0.5000 0.0000
Ge1 Ge 0.1112 0.1250 0.4862
Ge2 Ge 0.3750 0.8888 0.0138
Ge3 Ge 0.6388 0.6250 0.5138
Ge4 Ge 0.8750 0.3612 0.9862

---

# FeReGe6 PBE relaxed
# formation energy = 0.29 eV/atom
# ρ = 8.09 g/cm³
# symmetry = C2/m (12)
# DFT total energy = -46.3 eV/cell
# magnetic moment = 0.995 μB/f.u.
data_FeReGe6
_space_group_name_H-M_alt 'P 1'
_space_group_IT_number 1
_cell_length_a 4.7252
_cell_length_b 4.7252
_cell_length_c 6.3223
_cell_angle_alpha 94.05
_cell_angle_beta 94.05
_cell_angle_gamma 97.63
loop_
_space_group_symop_operation_xyz
'x,y,z'
loop_
_atom_site_label
_atom_site_type_symbol
_atom_site_fract_x
_atom_site_fract_y
_atom_site_fract_z
Fe1 Fe 0.0000 0.0000 0.0000
Re1 Re 0.5000 0.5000 0.5000
Ge1 Ge 0.0350 0.6661 0.6898
Ge2 Ge 0.3344 0.3344 0.8780
Ge3 Ge 0.3339 0.9650 0.3102
Ge4 Ge 0.6661 0.0350 0.6898
Ge5 Ge 0.6656 0.6656 0.1220
Ge6 Ge 0.9650 0.3339 0.3102

---

# Fe14ReGe PBE relaxed
# formation energy = 0.01 eV/atom
# ρ = 9.17 g/cm³
# symmetry = Cmmm (65)
# DFT total energy = -135.4 eV/cell
# magnetic moment = 29.982 μB/f.u.
data_Fe14ReGe
_space_group_name_H-M_alt 'P 1'
_space_group_IT_number 1
_cell_length_a 4.9641
_cell_length_b 4.9641
_cell_length_c 8.0569
_cell_angle_alpha 90.00
_cell_angle_beta 90.00
_cell_angle_gamma 108.27
loop_
_space_group_symop_operation_xyz
'x,y,z'
loop_
_atom_site_label
_atom_site_type_symbol
_atom_site_fract_x
_atom_site_fract_y
_atom_site_fract_z
Fe1 Fe 0.0000 0.0000 0.0000
Fe2 Fe 0.0000 0.5000 0.0000
Fe3 Fe 0.0000 0.5000 0.5000
Fe4 Fe 0.2499 0.2499 0.2448
Fe5 Fe 0.2499 0.2499 0.7552
Fe6 Fe 0.2503 0.7497 0.2482
Fe7 Fe 0.2503 0.7497 0.7518
Fe8 Fe 0.5000 0.0000 0.0000
Fe9 Fe 0.5000 0.0000 0.5000
Fe10 Fe 0.5000 0.5000 0.0000
Fe11 Fe 0.7497 0.2503 0.2482
Fe12 Fe 0.7497 0.2503 0.7518
Fe13 Fe 0.7501 0.7501 0.2448
Fe14 Fe 0.7501 0.7501 0.7552
Re1 Re 0.0000 0.0000 0.5000
Ge1 Ge 0.5000 0.5000 0.5000

---

# FeReGe3 PBE relaxed
# formation energy = 0.86 eV/atom
# ρ = 6.80 g/cm³
# symmetry = Pm-3m (221)
# DFT total energy = -30.5 eV/cell
# magnetic moment = 3.100 μB/f.u.
data_FeReGe3
_space_group_name_H-M_alt 'P 1'
_space_group_IT_number 1
_cell_length_a 4.8239
_cell_length_b 4.8239
_cell_length_c 4.8239
_cell_angle_alpha 90.00
_cell_angle_beta 90.00
_cell_angle_gamma 90.00
loop_
_space_group_symop_operation_xyz
'x,y,z'
loop_
_atom_site_label
_atom_site_type_symbol
_atom_site_fract_x
_atom_site_fract_y
_atom_site_fract_z
Fe1 Fe 0.0000 0.0000 0.0000
Re1 Re 0.5000 0.5000 0.5000
Ge1 Ge 0.0000 0.5000 0.5000
Ge2 Ge 0.5000 0.0000 0.5000
Ge3 Ge 0.5000 0.5000 0.0000

---

# FeReGeRu PBE relaxed
# formation energy = 0.06 eV/atom
# ρ = 12.66 g/cm³
# symmetry = F-43m (216)
# DFT total energy = -34.6 eV/cell
# magnetic moment = 2.635 μB/f.u.
data_FeReGeRu
_space_group_name_H-M_alt 'P 1'
_space_group_IT_number 1
_cell_length_a 4.2565
_cell_length_b 4.2565
_cell_length_c 4.2565
_cell_angle_alpha 60.00
_cell_angle_beta 60.00
_cell_angle_gamma 60.00
loop_
_space_group_symop_operation_xyz
'x,y,z'
loop_
_atom_site_label
_atom_site_type_symbol
_atom_site_fract_x
_atom_site_fract_y
_atom_site_fract_z
Fe1 Fe 0.0000 0.0000 0.0000
Re1 Re 0.2500 0.2500 0.2500
Ge1 Ge 0.5000 0.5000 0.5000
Ru1 Ru 0.7500 0.7500 0.7500

---

# FeRe2SiGe PBE relaxed
# ρ = 9.95 g/cm³
# symmetry = P4/mmm (123)
# DFT total energy = -34.6 eV/cell
# magnetic moment = 0.267 μB/f.u.
# formation energy from raw total energies = 1765 meV per atom
data_FeRe2SiGe
_space_group_name_H-M_alt 'P 1'
_space_group_IT_number 1
_cell_length_a 4.4217
_cell_length_b 4.4217
_cell_length_c 4.5155
_cell_angle_alpha 90.00
_cell_angle_beta 90.00
_cell_angle_gamma 90.00
loop_
_space_group_symop_operation_xyz
'x,y,z'
loop_
_atom_site_label
_atom_site_type_symbol
_atom_site_fract_x
_atom_site_fract_y
_atom_site_fract_z
Fe1 Fe 0.0000 0.0000 0.0000
Re1 Re 0.0000 0.5000 0.5000
Re2 Re 0.5000 0.0000 0.5000
Si1 Si 0.5000 0.5000 0.5000
Ge1 Ge 0.5000 0.5000 0.0000

---

# TaFe2ReGe PBE relaxed
# formation energy = 1.77 eV/atom
# ρ = 9.11 g/cm³
# symmetry = P4/mmm (123)
# DFT total energy = -37.0 eV/cell
# magnetic moment = 4.627 μB/f.u.
data_TaFe2ReGe
_space_group_name_H-M_alt 'P 1'
_space_group_IT_number 1
_cell_length_a 4.5489
_cell_length_b 4.5489
_cell_length_c 4.8570
_cell_angle_alpha 90.00
_cell_angle_beta 90.00
_cell_angle_gamma 90.00
loop_
_space_group_symop_operation_xyz
'x,y,z'
loop_
_atom_site_label
_atom_site_type_symbol
_atom_site_fract_x
_atom_site_fract_y
_atom_site_fract_z
Ta1 Ta 0.0000 0.0000 0.0000
Fe1 Fe 0.0000 0.5000 0.0000
Fe2 Fe 0.5000 0.0000 0.0000
Re1 Re 0.0000 0.0000 0.5000
Ge1 Ge 0.5000 0.5000 0.5000

---

# ThFeReGe2 PBE relaxed
# formation energy = -0.32 eV/atom
# ρ = 11.29 g/cm³
# symmetry = I-4m2 (119)
# DFT total energy = -39.2 eV/cell
# magnetic moment = 1.851 μB/f.u.
data_ThFeReGe2
_space_group_name_H-M_alt 'P 1'
_space_group_IT_number 1
_cell_length_a 6.0495
_cell_length_b 6.0495
_cell_length_c 6.0495
_cell_angle_alpha 139.87
_cell_angle_beta 139.87
_cell_angle_gamma 58.05
loop_
_space_group_symop_operation_xyz
'x,y,z'
loop_
_atom_site_label
_atom_site_type_symbol
_atom_site_fract_x
_atom_site_fract_y
_atom_site_fract_z
Th1 Th 0.0000 0.0000 0.0000
Fe1 Fe 0.7500 0.2500 0.5000
Re1 Re 0.2500 0.7500 0.5000
Ge1 Ge 0.3754 0.3754 0.0000
Ge2 Ge 0.6246 0.6246 0.0000

---

# TiFeReGe PBE relaxed
# formation energy = -0.20 eV/atom
# ρ = 10.98 g/cm³
# symmetry = F-43m (216)
# DFT total energy = -34.2 eV/cell
# magnetic moment = 0.640 μB/f.u.
data_TiFeReGe
_space_group_name_H-M_alt 'P 1'
_space_group_IT_number 1
_cell_length_a 4.2642
_cell_length_b 4.2642
_cell_length_c 4.2642
_cell_angle_alpha 60.00
_cell_angle_beta 60.00
_cell_angle_gamma 60.00
loop_
_space_group_symop_operation_xyz
'x,y,z'
loop_
_atom_site_label
_atom_site_type_symbol
_atom_site_fract_x
_atom_site_fract_y
_atom_site_fract_z
Ti1 Ti 0.0000 0.0000 0.0000
Fe1 Fe 0.2500 0.2500 0.2500
Re1 Re 0.7500 0.7500 0.7500
Ge1 Ge 0.5000 0.5000 0.5000